Ba4Ag after structural relaxation. Source: the Alexandria database, functional PBE-GGA.

Unit cell a=6.660 b=6.660 c=6.660 alpha=90.00 beta=90.00 gamma=90.00
Positions (direct):
Ba 0.000 0.000 0.000
Ba 0.500 0.500 0.000
Ba 0.000 0.500 0.500
Ba 0.500 0.000 0.500
Ag 0.500 0.500 0.500

Summary:
Size of the total moment ... 0.000 μB per formula unit
Energy of formation from the pure elements ... -70 meV per atom

---

BaAg after structural relaxation. Source: the Alexandria database, functional PBE-GGA.

Unit cell a=4.579 b=4.579 c=9.503 alpha=90.00 beta=90.00 gamma=120.00
Positions (direct):
Ag 0.667 0.333 0.192
Ag 0.000 0.000 0.058
Ba 0.667 0.333 0.834
Ba 0.000 0.000 0.416

Summary:
Size of the total moment ... 0.000 μB per formula unit
Energy of formation from the pure elements ... -26 meV per atom

---

BaAg after structural relaxation. Source: the Alexandria database, functional PBE-GGA.

Unit cell a=11.366 b=11.366 c=4.828 alpha=90.00 beta=90.00 gamma=120.00
Positions (direct):
Ba 0.401 0.119 0.250
Ba 0.881 0.282 0.250
Ba 0.718 0.599 0.250
Ba 0.282 0.401 0.750
Ba 0.599 0.881 0.750
Ba 0.119 0.718 0.750
Ag 0.832 0.951 0.250
Ag 0.881 0.832 0.750
Ag 0.049 0.881 0.250
Ag 0.119 0.168 0.250
Ag 0.168 0.049 0.750
Ag 0.951 0.119 0.750

Summary:
Size of the total moment ... 0.000 μB per formula unit
Energy of formation from the pure elements ... -101 meV per atom

---

Ba5Ag3 after structural relaxation. Source: the Alexandria database, functional PBE-GGA.

Unit cell a=10.133 b=10.133 c=7.575 alpha=90.00 beta=90.00 gamma=120.00
Positions (direct):
Ba 0.000 0.741 0.750
Ba 0.259 0.000 0.250
Ba 0.333 0.667 0.000
Ba 0.333 0.667 0.500
Ba 0.259 0.259 0.750
Ba 0.667 0.333 0.000
Ba 0.741 0.741 0.250
Ba 0.667 0.333 0.500
Ba 0.000 0.259 0.250
Ba 0.741 0.000 0.750
Ag 0.608 0.000 0.250
Ag 0.608 0.608 0.750
Ag 0.000 0.392 0.750
Ag 0.392 0.000 0.750
Ag 0.392 0.392 0.250
Ag 0.000 0.608 0.250

Summary:
Size of the total moment ... 0.000 μB per formula unit
Energy of formation from the pure elements ... -182 meV per atom

---

Ba5Ag3 after structural relaxation. Source: the Alexandria database, functional PBE-GGA.

Unit cell a=8.916 b=8.916 c=16.959 alpha=90.00 beta=90.00 gamma=90.00
Positions (direct):
Ba 0.663 0.323 0.607
Ba 0.323 0.663 0.893
Ba 0.000 0.500 0.239
Ba 0.837 0.177 0.393
Ba 0.663 0.677 0.107
Ba 0.000 0.500 0.739
Ba 0.177 0.163 0.607
Ba 0.677 0.663 0.393
Ba 0.823 0.837 0.607
Ba 0.177 0.837 0.107
Ba 0.163 0.177 0.893
Ba 0.500 0.000 0.761
Ba 0.323 0.337 0.393
Ba 0.677 0.337 0.893
Ba 0.837 0.823 0.893
Ba 0.500 0.000 0.261
Ba 0.823 0.163 0.107
Ba 0.163 0.823 0.393
Ba 0.337 0.677 0.607
Ba 0.337 0.323 0.107
Ag 0.500 0.000 0.492
Ag 0.618 0.382 0.250
Ag 0.000 0.500 0.508
Ag 0.382 0.382 0.750
Ag 0.118 0.118 0.250
Ag 0.618 0.618 0.750
Ag 0.882 0.118 0.750
Ag 0.382 0.618 0.250
Ag 0.000 0.500 0.008
Ag 0.882 0.882 0.250
Ag 0.500 0.000 0.992
Ag 0.118 0.882 0.750

Summary:
Size of the total moment ... 0.000 μB per formula unit
Energy of formation from the pure elements ... -196 meV per atom

---

Ba3Ag after structural relaxation. Source: the Alexandria database, functional PBE-GGA.

Unit cell a=4.557 b=4.557 c=11.898 alpha=90.00 beta=90.00 gamma=120.00
Positions (direct):
Ba 0.667 0.333 0.817
Ba 0.000 0.000 0.500
Ba 0.667 0.333 0.183
Ag 0.000 0.000 0.000

Summary:
Size of the total moment ... 0.000 μB per formula unit
Energy of formation from the pure elements ... -53 meV per atom